A) VASP calculation (PBE-GGA) on a relaxed structure of OsW3C.

a b c (Å): 4.7377 4.7377 4.7377
angles (deg): 90.00 90.00 90.00
With the nearest neighbours (Å) after each atom.
Fractional coordinates of all 5 atoms:
Os: 0.0000 0.0000 0.0000  6 W 2.37
W: 0.0000 0.0000 0.5000  2 Os 2.37
W: 0.0000 0.5000 0.0000  2 Os 2.37
W: 0.5000 0.0000 0.0000  2 Os 2.37
C: 0.5000 0.5000 0.5000  12 W 3.35

Theoretical density (g/cm3): 11.77
Spin magnetization (μB/cell): 0.0

=====

B) VASP calculation (PBE-GGA) on a relaxed structure of OsW3C.

a b c (Å): 4.1279 4.1279 4.1279
angles (deg): 90.00 90.00 90.00
With the nearest neighbours (Å) after each atom.
Fractional coordinates of all 5 atoms:
Os: 0.0000 0.0000 0.0000  12 W 2.92
W: 0.0000 0.5000 0.5000  2 C 2.06
W: 0.5000 0.0000 0.5000  2 C 2.06
W: 0.5000 0.5000 0.0000  2 C 2.06
C: 0.5000 0.5000 0.5000  6 W 2.06

Theoretical density (g/cm3): 17.79
Spin magnetization (μB/cell): 0.0

=====

So which one wins? Going from most stable to least: B), A).